# 1
{"formula": "Cd2CuAg", "functional": "SCAN", "state": "PBEsol geometry", "space_group": "Pm (6)", "e_form_mev_per_atom": 38, "lattice": [[2.9027, 0.0000, 0.0000], [0.0000, 4.3622, 0.0000], [-1.3996, 0.0000, 5.3729]], "species": ["Cd", "Cd", "Cu", "Ag"], "fractional_positions": [[0.0000, 0.0000, 0.0000], [0.3350, 0.5000, 0.6753], [0.5873, 0.5000, 0.1905], [0.7317, 0.0000, 0.4627]]}


# 2
{"formula": "AgAsPt2", "functional": "SCAN", "state": "PBEsol geometry", "space_group": "R-3m (166)", "e_form_mev_per_atom": -16, "lattice": [[1.4533, 0.8391, 8.6029], [-1.4533, 0.8391, 8.6029], [0.0000, -1.6781, 8.6029]], "species": ["Ag", "As", "Pt", "Pt"], "fractional_positions": [[0.0000, 0.0000, 0.0000], [0.5000, 0.5000, 0.5000], [0.2445, 0.2445, 0.2445], [0.7555, 0.7555, 0.7555]]}


# 3
{"formula": "Ag2HgPt", "functional": "SCAN", "state": "PBEsol geometry", "space_group": "I4/mmm (139)", "e_form_mev_per_atom": 17, "lattice": [[-2.0071, 2.0071, 4.1836], [2.0071, -2.0071, 4.1836], [2.0071, 2.0071, -4.1836]], "species": ["Ag", "Ag", "Hg", "Pt"], "fractional_positions": [[0.2500, 0.7500, 0.5000], [0.7500, 0.2500, 0.5000], [0.0000, 0.0000, 0.0000], [0.5000, 0.5000, 0.0000]]}


# 4
{"formula": "CrTe2", "functional": "SCAN", "state": "PBEsol geometry", "space_group": "P-3m1 (164)", "lattice": [[3.7522, 0.0000, 0.0000], [-1.8761, 3.2495, 0.0000], [0.0000, 0.0000, 5.9626]], "species": ["Cr", "Te", "Te"], "fractional_positions": [[0.0000, 0.0000, 0.0000], [0.3333, 0.6667, 0.7421], [0.6667, 0.3333, 0.2579]]}


# 5
{"formula": "TlTcW2", "functional": "SCAN", "state": "PBEsol geometry", "space_group": "I4/mmm (139)", "de_polymorph_ev_per_atom": 0.106, "e_form_mev_per_atom": 757, "lattice": [[-1.9424, 1.9424, 4.3271], [1.9424, -1.9424, 4.3271], [1.9424, 1.9424, -4.3271]], "species": ["Tl", "Tc", "W", "W"], "fractional_positions": [[0.0000, 0.0000, 0.0000], [0.5000, 0.5000, 0.0000], [0.2500, 0.7500, 0.5000], [0.7500, 0.2500, 0.5000]]}


# 6
{"formula": "LaCuRe2", "functional": "SCAN", "state": "PBEsol geometry", "space_group": "Cmmm (65)", "e_form_mev_per_atom": 401, "lattice": [[2.4987, -3.3197, 0.0000], [2.4987, 3.3197, 0.0000], [0.0000, 0.0000, 4.6255]], "species": ["La", "Cu", "Re", "Re"], "fractional_positions": [[0.0000, 0.0000, 0.0000], [0.5000, 0.5000, 0.0000], [0.3208, 0.6792, 0.5000], [0.6792, 0.3208, 0.5000]]}


# 7
{"formula": "MoRuRh2", "functional": "SCAN", "state": "PBEsol geometry", "space_group": "I4/mmm (139)", "de_polymorph_ev_per_atom": 0.045, "e_form_mev_per_atom": -123, "lattice": [[-1.8925, 1.8925, 3.8466], [1.8925, -1.8925, 3.8466], [1.8925, 1.8925, -3.8466]], "species": ["Mo", "Ru", "Rh", "Rh"], "fractional_positions": [[0.0000, 0.0000, 0.0000], [0.5000, 0.5000, 0.0000], [0.2500, 0.7500, 0.5000], [0.7500, 0.2500, 0.5000]]}


# 8
{"formula": "MnReF3", "functional": "SCAN", "state": "PBEsol geometry", "space_group": "Pm-3m (221)", "de_polymorph_ev_per_atom": 0.000, "lattice": [[4.1942, 0.0000, 0.0000], [0.0000, 4.1942, 0.0000], [0.0000, 0.0000, 4.1942]], "species": ["Mn", "Re", "F", "F", "F"], "fractional_positions": [[0.0000, 0.0000, 0.0000], [0.5000, 0.5000, 0.5000], [0.0000, 0.0000, 0.5000], [0.0000, 0.5000, 0.0000], [0.5000, 0.0000, 0.0000]]}


# 9
{"formula": "MgMoOF2", "functional": "SCAN", "state": "PBEsol geometry", "space_group": "P4/mmm (123)", "lattice": [[3.6708, 0.0000, 0.0000], [0.0000, 3.6708, 0.0000], [0.0000, 0.0000, 4.3093]], "species": ["Mg", "Mo", "O", "F", "F"], "fractional_positions": [[0.0000, 0.0000, 0.0000], [0.5000, 0.5000, 0.5000], [0.0000, 0.0000, 0.5000], [0.0000, 0.5000, 0.0000], [0.5000, 0.0000, 0.0000]]}


# 10
{"formula": "NiAsSeN2", "functional": "SCAN", "state": "PBEsol geometry", "space_group": "P4/mmm (123)", "lattice": [[3.5503, 0.0000, 0.0000], [0.0000, 3.5503, 0.0000], [0.0000, 0.0000, 5.8619]], "species": ["Ni", "As", "Se", "N", "N"], "fractional_positions": [[0.0000, 0.0000, 0.0000], [0.5000, 0.5000, 0.5000], [0.5000, 0.5000, 0.0000], [0.0000, 0.5000, 0.5000], [0.5000, 0.0000, 0.5000]]}


# 11
{"formula": "WSe2BrN", "functional": "SCAN", "state": "PBEsol geometry", "space_group": "P4/mmm (123)", "lattice": [[4.2684, 0.0000, 0.0000], [0.0000, 4.2684, 0.0000], [0.0000, 0.0000, 4.3151]], "species": ["W", "Se", "Se", "Br", "N"], "fractional_positions": [[0.0000, 0.0000, 0.0000], [0.0000, 0.5000, 0.5000], [0.5000, 0.0000, 0.5000], [0.5000, 0.5000, 0.0000], [0.5000, 0.5000, 0.5000]]}


# 12
{"formula": "Ho2S3O12", "functional": "SCAN", "state": "PBEsol geometry", "space_group": "R-3c (167)", "lattice": [[4.5783, 2.6433, 7.8324], [-4.5783, 2.6433, 7.8324], [0.0000, -5.2865, 7.8324]], "species": ["Ho", "Ho", "Ho", "Ho", "S", "S", "S", "S", "S", "S", "O", "O", "O", "O", "O", "O", "O", "O", "O", "O", "O", "O", "O", "O", "O", "O", "O", "O", "O", "O", "O", "O", "O", "O"], "fractional_positions": [[0.1428, 0.1428, 0.1428], [0.3572, 0.3572, 0.3572], [0.6428, 0.6428, 0.6428], [0.8572, 0.8572, 0.8572], [0.0337, 0.7500, 0.4663], [0.2500, 0.5337, 0.9663], [0.4663, 0.0337, 0.7500], [0.5337, 0.9663, 0.2500], [0.7500, 0.4663, 0.0337], [0.9663, 0.2500, 0.5337], [0.0060, 0.7733, 0.6228], [0.0605, 0.9082, 0.3067], [0.0918, 0.6933, 0.9395], [0.1228, 0.2733, 0.5060], [0.1933, 0.5918, 0.4395], [0.2267, 0.3772, 0.9940], [0.2733, 0.5060, 0.1228], [0.3067, 0.0605, 0.9082], [0.3772, 0.9940, 0.2267], [0.4082, 0.5605, 0.8067], [0.4395, 0.1933, 0.5918], [0.4940, 0.8772, 0.7267], [0.5060, 0.1228, 0.2733], [0.5605, 0.8067, 0.4082], [0.5918, 0.4395, 0.1933], [0.6228, 0.0060, 0.7733], [0.6933, 0.9395, 0.0918], [0.7267, 0.4940, 0.8772], [0.7733, 0.6228, 0.0060], [0.8067, 0.4082, 0.5605], [0.8772, 0.7267, 0.4940], [0.9082, 0.3067, 0.0605], [0.9395, 0.0918, 0.6933], [0.9940, 0.2267, 0.3772]]}


# 13
{"formula": "Ca2CuOs", "functional": "SCAN", "state": "PBEsol geometry", "space_group": "Imm2 (44)", "e_form_mev_per_atom": 319, "lattice": [[-1.5716, 2.4475, 5.2535], [1.5716, -2.4475, 5.2535], [1.5716, 2.4475, -5.2535]], "species": ["Ca", "Ca", "Cu", "Os"], "fractional_positions": [[0.0000, 0.0000, 0.0000], [0.7028, 0.2028, 0.5000], [0.2631, 0.7631, 0.5000], [0.4433, 0.4433, 0.0000]]}


# 14
{"formula": "Cd2BSb", "functional": "SCAN", "state": "PBEsol geometry", "space_group": "I-42d (122)", "de_polymorph_ev_per_atom": 0.000, "lattice": [[-4.0275, 4.0275, 2.4611], [4.0275, -4.0275, 2.4611], [4.0275, 4.0275, -2.4611]], "species": ["Cd", "Cd", "Cd", "Cd", "B", "B", "Sb", "Sb"], "fractional_positions": [[0.0241, 0.1250, 0.3991], [0.3750, 0.9759, 0.1009], [0.7259, 0.6250, 0.6009], [0.8750, 0.2741, 0.8991], [0.0000, 0.0000, 0.0000], [0.7500, 0.2500, 0.5000], [0.2500, 0.7500, 0.5000], [0.5000, 0.5000, 0.0000]]}


# 15
{"formula": "LiTa2Pb", "functional": "SCAN", "state": "PBEsol geometry", "space_group": "I-4m2 (119)", "e_form_mev_per_atom": 405, "lattice": [[-2.0651, 2.0651, 4.2505], [2.0651, -2.0651, 4.2505], [2.0651, 2.0651, -4.2505]], "species": ["Li", "Ta", "Ta", "Pb"], "fractional_positions": [[0.0000, 0.0000, 0.0000], [0.2500, 0.7500, 0.5000], [0.5000, 0.5000, 0.0000], [0.7500, 0.2500, 0.5000]]}


# 16
{"formula": "LiWCl6", "functional": "SCAN", "state": "PBEsol geometry", "space_group": "R3 (146)", "lattice": [[6.1789, 3.5674, 5.8080], [-6.1789, 3.5674, 5.8080], [0.0000, -7.1347, 5.8080]], "species": ["Li", "Li", "Li", "Li", "W", "W", "W", "W", "Cl", "Cl", "Cl", "Cl", "Cl", "Cl", "Cl", "Cl", "Cl", "Cl", "Cl", "Cl", "Cl", "Cl", "Cl", "Cl", "Cl", "Cl", "Cl", "Cl", "Cl", "Cl", "Cl", "Cl"], "fractional_positions": [[0.0000, 0.0000, 0.0000], [0.1661, 0.1657, 0.6646], [0.1657, 0.6646, 0.1661], [0.6646, 0.1661, 0.1657], [0.3339, 0.3339, 0.3339], [0.3425, 0.8273, 0.8280], [0.8273, 0.8280, 0.3425], [0.8280, 0.3425, 0.8273], [0.0653, 0.4055, 0.7599], [0.0651, 0.9071, 0.2534], [0.1002, 0.7571, 0.9125], [0.1042, 0.2540, 0.4113], [0.2534, 0.0651, 0.9071], [0.2540, 0.4113, 0.1042], [0.2537, 0.9090, 0.6035], [0.2607, 0.5677, 0.4055], [0.4055, 0.2607, 0.5677], [0.4050, 0.6011, 0.7561], [0.4055, 0.7599, 0.0653], [0.4113, 0.1042, 0.2540], [0.5639, 0.9089, 0.7601], [0.5677, 0.4055, 0.2607], [0.6011, 0.7561, 0.4050], [0.6035, 0.2537, 0.9090], [0.7561, 0.4050, 0.6011], [0.7571, 0.9125, 0.1002], [0.7599, 0.0653, 0.4055], [0.7601, 0.5639, 0.9089], [0.9071, 0.2534, 0.0651], [0.9090, 0.6035, 0.2537], [0.9089, 0.7601, 0.5639], [0.9125, 0.1002, 0.7571]]}


# 17
{"formula": "AgMoRu2", "functional": "SCAN", "state": "PBEsol geometry", "space_group": "Pmm2 (25)", "de_polymorph_ev_per_atom": 0.000, "e_form_mev_per_atom": 375, "lattice": [[2.7170, 0.0000, 0.0000], [0.0000, 3.9260, 0.0000], [0.0000, 0.0000, 5.4582]], "species": ["Ag", "Mo", "Ru", "Ru"], "fractional_positions": [[0.0000, 0.0000, 0.0000], [0.5000, 0.5000, 0.2778], [0.0000, 0.0000, 0.5073], [0.5000, 0.5000, 0.7304]]}


# 18
{"formula": "TaSiNi2", "functional": "SCAN", "state": "PBEsol geometry", "space_group": "R-3m (166)", "lattice": [[1.3538, 0.7816, 8.0503], [-1.3538, 0.7816, 8.0503], [0.0000, -1.5632, 8.0503]], "species": ["Ta", "Si", "Ni", "Ni"], "fractional_positions": [[0.0000, 0.0000, 0.0000], [0.5000, 0.5000, 0.5000], [0.2406, 0.2406, 0.2406], [0.7594, 0.7594, 0.7594]]}


# 19
{"formula": "BaTiZnF2", "functional": "SCAN", "state": "PBEsol geometry", "space_group": "P4/mmm (123)", "lattice": [[4.7389, 0.0000, 0.0000], [0.0000, 4.7389, 0.0000], [0.0000, 0.0000, 6.9213]], "species": ["Ba", "Ti", "Zn", "F", "F"], "fractional_positions": [[0.0000, 0.0000, 0.0000], [0.5000, 0.5000, 0.5000], [0.0000, 0.0000, 0.5000], [0.0000, 0.5000, 0.0000], [0.5000, 0.0000, 0.0000]]}


# 20
{"formula": "RbGa3P6O20", "functional": "SCAN", "state": "PBEsol geometry", "space_group": "C222_1 (20)", "lattice": [[5.0232, -6.5674, 0.0000], [5.0232, 6.5674, 0.0000], [0.0000, 0.0000, 12.1022]], "species": ["Rb", "Rb", "Ga", "Ga", "Ga", "Ga", "Ga", "Ga", "P", "P", "P", "P", "P", "P", "P", "P", "P", "P", "P", "P", "O", "O", "O", "O", "O", "O", "O", "O", "O", "O", "O", "O", "O", "O", "O", "O", "O", "O", "O", "O", "O", "O", "O", "O", "O", "O", "O", "O", "O", "O", "O", "O", "O", "O", "O", "O", "O", "O", "O", "O"], "fractional_positions": [[0.0256, 0.0256, 0.0000], [0.9744, 0.9744, 0.5000], [0.2050, 0.7950, 0.2500], [0.2558, 0.7442, 0.7500], [0.3635, 0.3635, 0.5000], [0.6365, 0.6365, 0.0000], [0.7442, 0.2558, 0.2500], [0.7950, 0.2050, 0.7500], [0.1320, 0.4068, 0.1834], [0.1969, 0.3251, 0.7233], [0.2408, 0.6505, 0.0122], [0.3251, 0.1969, 0.2767], [0.3495, 0.7592, 0.4878], [0.4068, 0.1320, 0.8166], [0.5932, 0.8680, 0.3166], [0.6505, 0.2408, 0.9878], [0.6749, 0.8031, 0.7767], [0.7592, 0.3495, 0.5122], [0.8031, 0.6749, 0.2233], [0.8680, 0.5932, 0.6834], [0.0244, 0.7340, 0.6990], [0.0314, 0.2268, 0.7697], [0.1369, 0.4649, 0.0571], [0.1635, 0.5523, 0.2611], [0.1793, 0.6608, 0.8962], [0.1925, 0.7770, 0.0880], [0.2230, 0.8075, 0.4120], [0.2268, 0.0314, 0.2303], [0.2295, 0.5110, 0.7077], [0.2356, 0.2469, 0.6129], [0.2469, 0.2356, 0.3871], [0.2660, 0.9756, 0.8010], [0.2919, 0.3310, 0.1870], [0.3310, 0.2919, 0.8130], [0.3392, 0.8207, 0.6038], [0.3519, 0.5759, 0.4762], [0.4241, 0.6481, 0.0238], [0.4477, 0.8365, 0.2389], [0.4649, 0.1369, 0.9429], [0.4890, 0.7705, 0.7923], [0.5110, 0.2295, 0.2923], [0.5351, 0.8631, 0.4429], [0.5523, 0.1635, 0.7389], [0.5759, 0.3519, 0.5238], [0.6481, 0.4241, 0.9762], [0.6608, 0.1793, 0.1038], [0.6690, 0.7081, 0.3130], [0.7081, 0.6690, 0.6870], [0.7340, 0.0244, 0.3010], [0.7531, 0.7644, 0.8871], [0.7644, 0.7531, 0.1129], [0.7705, 0.4890, 0.2077], [0.7732, 0.9686, 0.7303], [0.7770, 0.1925, 0.9120], [0.8075, 0.2230, 0.5880], [0.8207, 0.3392, 0.3962], [0.8365, 0.4477, 0.7611], [0.8631, 0.5351, 0.5571], [0.9686, 0.7732, 0.2697], [0.9756, 0.2660, 0.1990]]}


So what do the calculations give for E? Going down the list: -26.810 -48.002 -50.256 -31.343 -60.942 -49.723 -34.437 -20.924 -12.557 -13.766 -26.036 -14.284 -26.283 -25.663 -52.429 -16.182 -33.602 -27.343 -16.506 -10.948 eV/atom.
So what do the calculations give for magnetic moment? Going down the list: 0.00 0.00 0.00 2.47 0.01 0.00 0.00 10.97 4.00 2.05 2.21 0.00 0.00 0.00 0.00 4.00 0.00 0.00 3.45 0.00 μB/cell.